Entry from OQMD: LiZn2Pd after structural relaxation (PBE).

Summary:
Space-group type: P6_3/mmc, No. 194
E above lowest polymorph: 11.09 kJ/mol of atoms

Cell lengths 4.250, 4.250, 7.577 Å; angles 90.00, 90.00, 120.00 degrees
Sites, in units of the cell vectors:
1 Li 0.000 0.000 0.000
2 Li 0.000 0.000 0.500
3 Zn 0.333 0.667 0.090
4 Zn 0.333 0.667 0.410
5 Zn 0.667 0.333 0.590
6 Zn 0.667 0.333 0.910
7 Pd 0.333 0.667 0.750
8 Pd 0.667 0.333 0.250